First-principles (PBE-GGA) data for a relaxed Ge2BAu crystal, as listed in Alexandria.

Calculated values
Calculated formation energy, eV per atom: 0.30
Total magnetization, μB/f.u.: 0.000
V, A^3/atom: 18.2

Geometry as POSCAR:
```
Ge2BAu
1.0
-2.829 2.829 4.553
2.829 -2.829 4.553
2.829 2.829 -4.553
Ge B Au
4 2 2
direct
0.050 0.625 0.925
0.375 0.300 0.425
0.700 0.125 0.075
0.875 0.950 0.575
0.000 0.000 0.000
0.750 0.250 0.500
0.250 0.750 0.500
0.500 0.500 0.000
```

=====

First-principles (PBE-GGA) data for a relaxed GeBAu crystal, as listed in Alexandria.

Calculated values
Calculated formation energy, eV per atom: 0.33
Total magnetization, μB/f.u.: 0.000
V, A^3/atom: 17.8

Geometry as POSCAR:
```
GeBAu
1.0
3.061 0.000 0.000
1.530 5.748 0.000
1.329 2.236 6.056
Ge B Au
2 2 2
direct
0.000 0.000 0.000
0.411 0.754 0.474
0.068 0.638 0.236
0.609 0.502 0.296
0.282 0.251 0.194
0.526 0.239 0.665
```

=====

First-principles (PBE-GGA) data for a relaxed GeBAu crystal, as listed in Alexandria.

Calculated values
Calculated formation energy, eV per atom: 0.34
Total magnetization, μB/f.u.: 0.000
V, A^3/atom: 17.7

Geometry as POSCAR:
```
GeBAu
1.0
0.000 4.216 3.350
3.761 0.000 3.350
3.761 4.216 0.000
Ge B Au
2 2 2
direct
0.176 0.824 0.824
0.824 0.176 0.176
0.580 0.805 0.420
0.805 0.580 0.195
0.355 0.841 0.159
0.841 0.355 0.645
```

=====

Short version: density of states at the Fermi level = 0.80; 1.05; 0.48 states/eV/f.u., in the order given.